1.
PBE AcSn2Sb, relaxed; energy relative to the lowest polymorph listed for this composition = 192.0 meV per atom; crystal system = tetragonal; SG = P4/mmm, No. 123; DFT total energy = -0.1619 hartree per atom; ΔE_f (raw) = -0.347 eV per atom
1.0
-0.6411 3.1454 2.7347
-1.4882 -2.7572 2.8224
6.3575 -0.8752 2.4971
Sb Ac Sn
1 1 2
Direct
0.5000 0.5000 0.0000 Sb
0.5000 0.5000 0.5000 Ac
0.0000 0.0000 0.7864 Sn
0.0000 0.0000 0.2136 Sn

---

2.
PBE Ac7Sn3Sb, relaxed; crystal system = monoclinic; SG = C2/m, No. 12; DFT total energy = -0.1670 hartree per atom; ΔE_f (raw) = -0.464 eV per atom
1.0
6.4296 -0.0484 -0.0620
-3.1436 8.1607 0.2490
-3.1436 -1.7368 7.9777
Ac Sn Sb
7 3 1
Direct
0.1764 0.1752 0.1752 Ac
0.3345 0.0667 0.6027 Ac
0.6655 0.3973 0.9333 Ac
0.3345 0.6027 0.0667 Ac
0.0000 0.5000 0.5000 Ac
0.6655 0.9333 0.3973 Ac
0.8236 0.8248 0.8248 Ac
0.0000 0.7685 0.2315 Sn
0.5000 0.0000 0.0000 Sn
0.0000 0.2315 0.7685 Sn
0.5000 0.5000 0.5000 Sb

---

3.
PBE AcSn2Sb, relaxed; energy relative to the lowest polymorph listed for this composition = 244.1 meV per atom; crystal system = trigonal; SG = R-3m, No. 166; DFT total energy = -0.1600 hartree per atom; ΔE_f (raw) = -0.295 eV per atom
1.0
5.2753 0.0000 0.0000
2.6376 4.5685 0.0000
2.6376 1.5228 5.3836
Sb Ac Sn
1 1 2
Direct
0.0000 0.0000 0.0000 Sb
0.5000 0.5000 0.5000 Ac
0.7148 0.7148 0.8554 Sn
0.2852 0.2852 0.1446 Sn

---

4.
PBE AcSnSb2, relaxed; energy relative to the lowest polymorph listed for this composition = 184.3 meV per atom; crystal system = trigonal; SG = R3m, No. 160; DFT total energy = -0.1651 hartree per atom; ΔE_f (raw) = -0.405 eV per atom
1.0
5.0285 0.0000 0.0000
2.5142 4.3548 0.0000
2.5142 1.4516 6.5857
Ac Sn Sb
1 1 2
Direct
0.6681 0.6681 0.9957 Ac
0.4884 0.4884 0.5347 Sn
0.0945 0.0945 0.7164 Sb
0.2489 0.2489 0.2533 Sb

---

5.
PBE Ac6SnSb5, relaxed; crystal system = monoclinic; SG = C2/m, No. 12; DFT total energy = -0.1908 hartree per atom; ΔE_f (raw) = -1.086 eV per atom
1.0
-6.4569 -5.2184 -0.1330
2.3633 -7.2795 -3.2784
2.9703 -6.0204 4.9362
Sb Ac Sn
5 6 1
Direct
0.5000 0.1672 0.6655 Sb
0.0000 0.3338 0.3324 Sb
0.5000 0.5000 0.0000 Sb
0.0000 0.6662 0.6676 Sb
0.5000 0.8328 0.3345 Sb
0.7505 0.0830 0.3355 Ac
0.2495 0.5814 0.3355 Ac
0.2510 0.2517 0.0000 Ac
0.7490 0.7483 0.0000 Ac
0.7505 0.4186 0.6645 Ac
0.2495 0.9170 0.6645 Ac
0.0000 0.0000 0.0000 Sn

---

6.
PBE AcSn4Sb, relaxed; crystal system = cubic; SG = F-43m, No. 216; DFT total energy = -0.1573 hartree per atom; ΔE_f (raw) = -0.240 eV per atom
1.0
6.2877 0.0000 0.0000
3.1439 5.4453 0.0000
3.1439 1.8151 5.1339
Sb Ac Sn
1 1 4
Direct
0.0000 0.0000 0.0000 Sb
0.2500 0.2500 0.2500 Ac
0.6252 0.6252 0.1243 Sn
0.6252 0.1243 0.6252 Sn
0.6252 0.6252 0.6252 Sn
0.1243 0.6252 0.6252 Sn